No. 1
Crystalline PaMoP at its relaxed geometry. Source: the Alexandria database, functional PBE.

```
6
Lattice="2.9541 -2.0025 0.0000 2.9541 2.0025 0.0000 -1.2665 0.0000 9.7537" Properties=species:S:1:pos:R:3 pbc="T T T"
Pa 0.8431 0.0000 3.8820
Pa 3.7986 0.0000 5.8717
Mo -0.5522 0.0000 8.6188
Mo 5.1938 0.0000 1.1349
P 1.6529 0.0000 7.6794
P 2.9887 0.0000 2.0743
```

Results
Magnetization (μB/cell): 0.00
Polymorph energy (0 for the lowest one) (eV per formula unit): 0.98
Space group: No. 12
DFT formation energy (eV/atom): -0.17
E_tot (eV per atom): -8.746

***

No. 2
Crystalline Cs2AlHg2Br4 at its relaxed geometry. Source: the Alexandria database, functional PBE.

```
9
Lattice="-4.2843 4.2843 4.3280 4.2843 -4.2843 4.3280 4.2843 4.2843 -4.3280" Properties=species:S:1:pos:R:3 pbc="T T T"
Cs 4.2843 0.0000 2.1640
Cs 0.0000 4.2843 2.1640
Al 0.0000 0.0000 0.0000
Hg 0.0000 0.0000 2.7948
Hg 0.0000 0.0000 5.8613
Br 1.8728 1.8728 0.0000
Br 2.4115 -2.4115 4.3280
Br -2.4115 2.4115 4.3280
Br 2.4115 2.4115 4.3280
```

Results
Magnetization (μB/cell): 0.00
Space group: No. 139
Uncorrected formation energy (eV/atom): -1.04
E_tot (eV per atom): -2.456

***

No. 3
Crystalline Tb3YTc8 at its relaxed geometry. Source: the Alexandria database, functional PBE.

```
12
Lattice="4.7530 -2.6654 0.0000 4.7530 2.6654 0.0000 -3.4466 0.0000 8.8626" Properties=species:S:1:pos:R:3 pbc="T T T"
Tb 0.0000 0.0000 0.0000
Tb -0.0991 0.0000 3.3210
Tb 3.0285 0.0000 4.4304
Y 2.9311 0.0000 7.7511
Tc -1.7735 0.0000 6.0927
Tc 2.3264 1.3321 1.6584
Tc 0.6029 1.3331 6.0934
Tc -0.2564 0.0000 8.3087
Tc 2.3264 -1.3321 1.6584
Tc 0.6029 -1.3331 6.0934
Tc 4.7040 0.0000 1.6565
Tc 6.2182 0.0000 3.8749
```

Results
Magnetization (μB/cell): 0.00
Space group: No. 8
DFT formation energy (eV/atom): -0.12
E_tot (eV per atom): -8.731

***

No. 4
Crystalline LaCu2Ir at its relaxed geometry. Source: the Alexandria database, functional PBE.

```
4
Lattice="4.1570 -2.0016 0.0000 4.1570 2.0016 0.0000 -1.6568 0.0000 4.5901" Properties=species:S:1:pos:R:3 pbc="T T T"
La 0.0000 0.0000 0.0000
Cu 0.7656 0.0000 2.8096
Cu 5.8916 0.0000 1.7805
Ir 3.3286 0.0000 2.2951
```

Results
Magnetization (μB/cell): 0.00
Polymorph energy (0 for the lowest one) (eV per formula unit): 0.16
Space group: No. 12
DFT formation energy (eV/atom): -0.23
E_tot (eV per atom): -5.730

***

No. 5
Crystalline K2CuBr at its relaxed geometry. Source: the Alexandria database, functional PBE.

```
4
Lattice="0.0000 4.0408 4.0408 4.0408 0.0000 4.0408 4.0408 4.0408 0.0000" Properties=species:S:1:pos:R:3 pbc="T T T"
K 2.0204 2.0204 2.0204
K 6.0612 6.0612 6.0612
Cu 0.0000 0.0000 0.0000
Br 4.0408 4.0408 4.0408
```

Results
Magnetization (μB/cell): 0.00
Polymorph energy (0 for the lowest one) (eV per formula unit): 0.22
Space group: No. 225
Uncorrected formation energy (eV/atom): -0.55
E_tot (eV per atom): -2.539

***

No. 6
Crystalline ThPt2Au at its relaxed geometry. Source: the Alexandria database, functional PBE.

```
4
Lattice="0.0000 3.4514 3.4514 3.4514 0.0000 3.4514 3.4514 3.4514 0.0000" Properties=species:S:1:pos:R:3 pbc="T T T"
Th 0.0000 0.0000 0.0000
Pt 1.7257 1.7257 1.7257
Pt 5.1771 5.1771 5.1771
Au 3.4514 3.4514 3.4514
```

Results
Magnetization (μB/cell): 0.00
Space group: No. 225
DFT formation energy (eV/atom): -0.81
E_tot (eV per atom): -6.508

***

No. 7
Crystalline Pu3NpN7 at its relaxed geometry. Source: the Alexandria database, functional PBE.

```
22
Lattice="3.7152 -5.2765 0.0000 3.7152 5.2765 0.0000 0.0000 0.0000 7.4706" Properties=species:S:1:pos:R:3 pbc="T T T"
Pu 0.0000 0.0000 0.0000
Pu 0.0000 0.0000 3.7353
Pu 1.9644 2.5162 5.6030
Pu 5.4660 2.5162 5.6030
Pu 1.9644 -2.5162 1.8677
Pu 5.4660 -2.5162 1.8677
Np 3.7152 0.0000 0.0000
Np 3.7152 0.0000 3.7353
N 3.7152 3.8712 1.8677
N 3.7152 3.8016 5.6030
N 2.1087 1.3276 0.1872
N 2.1087 1.3276 3.5481
N 2.1087 -1.3276 3.9225
N 2.1087 -1.3276 7.2834
N 3.7152 0.9497 5.6030
N 3.7152 -0.9497 1.8677
N 5.3217 1.3276 0.1872
N 5.3217 1.3276 3.5481
N 5.3217 -1.3276 3.9225
N 5.3217 -1.3276 7.2834
N 3.7152 -3.8016 1.8677
N 3.7152 -3.8712 5.6030
```

Results
Magnetization (μB/cell): 20.01
Space group: No. 63
Uncorrected formation energy (eV/atom): -1.03
E_tot (eV per atom): -11.415

***

No. 8
Crystalline Na2YHCl at its relaxed geometry. Source: the Alexandria database, functional PBE.

```
5
Lattice="5.1547 0.0000 0.0000 0.0000 5.1547 0.0000 0.0000 0.0000 5.4796" Properties=species:S:1:pos:R:3 pbc="T T T"
Na 0.0000 2.5773 0.0000
Na 2.5773 0.0000 0.0000
Y 0.0000 0.0000 2.7398
H 2.5773 2.5773 2.7398
Cl 0.0000 0.0000 0.0000
```

Results
Magnetization (μB/cell): 1.44
Space group: No. 123
E_tot (eV per atom): -2.740